1.
Here is a geometry-optimized Tb2ZnNi2Rh5 structure from Alexandria. Energies are from GGA-PBE.

Unit cell a=9.1545 b=9.1545 c=3.8428 alpha=90.00 beta=90.00 gamma=90.00
With the nearest neighbours (Å) after each atom.
Space group P4/mbm (No. 127)
Asymmetric unit:
Tb  0.1751  0.3249  0.0000  3 Ni 2.61-2.77
Zn  0.0000  0.0000  0.0000  8 Rh 2.75
Ni  0.1231  0.6231  0.0000  6 Rh 2.50-2.54, 3 Tb 2.61-2.77
Rh  0.0000  0.5000  0.5000  4 Ni 2.50, 4 Rh 2.77
Rh  0.0662  0.7949  0.5000  2 Ni 2.54, 2 Zn 2.75, 3 Rh 2.77-2.79

Values from the calculation:
- Crystal system: tetragonal
- VASP energy: -63.52 eV/f.u.
- N(E_F): 19.82 states/eV per cell
- Calculated volume: 16.10 Å³/atom
- Total magnetic moment: 0.00 μB per formula unit

2.
Here is a geometry-optimized Tb2Zn5Ni2Rh structure from Alexandria. Energies are from GGA-PBE.

Unit cell a=9.1027 b=9.1027 c=3.9856 alpha=90.00 beta=90.00 gamma=90.00
With the nearest neighbours (Å) after each atom.
Space group P4/mbm (No. 127)
Asymmetric unit:
Tb  0.1825  0.3175  0.0000  3 Ni 2.64-2.76
Zn  0.0000  0.5000  0.5000  4 Ni 2.46
Zn  0.0561  0.7988  0.5000  2 Ni 2.67, 3 Zn 2.69-2.77, 2 Rh 2.75
Ni  0.1123  0.6123  0.0000  6 Zn 2.46-2.67, 1 Tb 2.64
Rh  0.0000  0.0000  0.0000  8 Zn 2.75

Values from the calculation:
- Crystal system: tetragonal
- VASP energy: -38.24 eV/f.u.
- N(E_F): 8.19 states/eV per cell
- Calculated volume: 16.51 Å³/atom
- Total magnetic moment: 0.00 μB per formula unit

3.
Here is a geometry-optimized Tc4NiRh structure from Alexandria. Energies are from GGA-PBE.

Unit cell a=7.1255 b=7.1255 c=7.1255 alpha=90.00 beta=90.00 gamma=90.00
With the nearest neighbours (Å) after each atom.
Space group F-43m (No. 216)
Asymmetric unit:
Tc  0.1243  0.1243  0.3757  6 Tc 2.51-2.53
Ni  0.2500  0.2500  0.7500  12 Tc 2.95, 4 Rh 3.09
Rh  0.0000  0.0000  0.0000  12 Tc 2.96, 4 Ni 3.09

Values from the calculation:
- Crystal system: cubic
- VASP energy: -52.10 eV/f.u.
- N(E_F): 18.80 states/eV per cell
- Calculated volume: 15.07 Å³/atom
- Total magnetic moment: 0.00 μB per formula unit

4.
Here is a geometry-optimized TcNiRh2 structure from Alexandria. Energies are from GGA-PBE.

Unit cell a=6.0398 b=6.0398 c=6.0398 alpha=90.00 beta=90.00 gamma=90.00
With the nearest neighbours (Å) after each atom.
Space group F-43m (No. 216)
Asymmetric unit:
Tc  0.0000  0.0000  0.0000  4 Ni 2.62, 4 Rh 2.62
Ni  0.2500  0.2500  0.2500  4 Tc 2.62, 4 Rh 2.62
Rh  0.0000  0.0000  0.5000  4 Ni 2.62, 4 Rh 2.62
Rh  0.2500  0.2500  0.7500  4 Tc 2.62, 4 Rh 2.62

Values from the calculation:
- Crystal system: cubic
- Energy above the lowest structure with this stoichiometry: 1.260 eV per formula unit
- N(E_F): 31.58 states/eV per cell
- Calculated volume: 13.77 Å³/atom
- Total magnetic moment: 0.05 μB per formula unit

5.
Here is a geometry-optimized TcNiRh2 structure from Alexandria. Energies are from GGA-PBE.

Unit cell a=3.7837 b=3.7837 c=7.5430 alpha=90.00 beta=90.00 gamma=90.00
With the nearest neighbours (Å) after each atom.
Space group I4/mmm (No. 139)
Asymmetric unit:
Tc  0.0000  0.0000  0.0000  8 Rh 2.67, 4 Ni 2.68
Ni  0.0000  0.0000  0.5000  8 Rh 2.67, 4 Tc 2.68
Rh  0.0000  0.5000  0.2500  4 Tc 2.67, 4 Ni 2.67, 4 Rh 2.68

Values from the calculation:
- Crystal system: tetragonal
- Energy above the lowest structure with this stoichiometry: 0.101 eV per formula unit
- N(E_F): 12.77 states/eV per cell
- Calculated volume: 13.50 Å³/atom
- Total magnetic moment: 0.02 μB per formula unit

6.
Here is a geometry-optimized TcNi2Rh structure from Alexandria. Energies are from GGA-PBE.

Unit cell a=5.8703 b=5.8703 c=5.8703 alpha=90.00 beta=90.00 gamma=90.00
With the nearest neighbours (Å) after each atom.
Space group Fm-3m (No. 225)
Asymmetric unit:
Tc  0.0000  0.0000  0.0000  8 Ni 2.54
Ni  0.2500  0.2500  0.2500  4 Tc 2.54, 4 Rh 2.54
Rh  0.0000  0.0000  0.5000  8 Ni 2.54

Values from the calculation:
- Crystal system: cubic
- Energy above the lowest structure with this stoichiometry: 0.638 eV per formula unit
- N(E_F): 25.47 states/eV per cell
- Calculated volume: 12.64 Å³/atom
- Total magnetic moment: 0.00 μB per formula unit

7.
Here is a geometry-optimized TcNi3Rh structure from Alexandria. Energies are from GGA-PBE.

Unit cell a=5.6869 b=3.6690 c=5.9245 alpha=90.00 beta=90.72 gamma=90.00
With the nearest neighbours (Å) after each atom.
Space group P2_1/m (No. 11)
Asymmetric unit:
Tc  0.1525  0.2500  0.0476  7 Ni 2.51-2.65, 2 Tc 2.58, 3 Rh 2.61
Ni  0.2571  0.7500  0.7514  6 Ni 2.50-2.63, 3 Tc 2.61-2.63, 3 Rh 2.62-2.64
Ni  0.3598  0.2500  0.4508  8 Ni 2.49-2.63, 3 Rh 2.59-2.67, 1 Tc 2.65
Ni  0.4591  0.7500  0.1480  3 Tc 2.51-2.59, 8 Ni 2.51-2.63, 1 Rh 2.59
Rh  0.0567  0.7500  0.3465  7 Ni 2.59-2.67, 3 Tc 2.61, 2 Rh 2.67

Values from the calculation:
- Crystal system: monoclinic
- Energy above the lowest structure with this stoichiometry: 0.000 eV per formula unit
- N(E_F): 15.69 states/eV per cell
- Calculated volume: 12.36 Å³/atom
- Total magnetic moment: 0.00 μB per formula unit

8.
Here is a geometry-optimized Tc2Ni3Rh4 structure from Alexandria. Energies are from GGA-PBE.

Unit cell a=4.6110 b=6.8692 c=8.2026 alpha=72.44 beta=74.49 gamma=89.52
With the nearest neighbours (Å) after each atom.
Space group P-1 (No. 2)
Asymmetric unit:
Tc  0.1179  0.3647  0.1101  5 Rh 2.59-2.71, 5 Ni 2.61-2.67, 2 Tc 2.62-2.70
Tc  0.3341  0.9135  0.6628  5 Ni 2.60-2.72, 2 Tc 2.61-2.70, 5 Rh 2.62-2.71
Ni  0.1105  0.1910  0.4435  4 Tc 2.61-2.64, 2 Ni 2.62-2.68, 6 Rh 2.63-2.75
Ni  0.2206  0.1427  0.8890  8 Rh 2.61-2.72, 2 Tc 2.65-2.72, 2 Ni 2.67-2.69
Ni  0.4426  0.5319  0.7793  4 Tc 2.60-2.67, 6 Rh 2.64-2.69, 2 Ni 2.67-2.68
Rh  0.0014  0.5771  0.3293  1 Tc 2.59, 5 Ni 2.61-2.75, 6 Rh 2.65-2.72
Rh  0.2151  0.9752  0.2211  5 Ni 2.61-2.72, 3 Tc 2.63-2.71, 4 Rh 2.65-2.71
Rh  0.3369  0.7542  0.9983  5 Ni 2.64-2.66, 4 Tc 2.64-2.71, 3 Rh 2.65-2.66
Rh  0.4530  0.6976  0.4419  2 Tc 2.62-2.65, 5 Ni 2.62-2.70, 5 Rh 2.66-2.72

Values from the calculation:
- Crystal system: triclinic
- VASP energy: -67.85 eV/f.u.
- N(E_F): 23.43 states/eV per cell
- Calculated volume: 13.22 Å³/atom
- Total magnetic moment: 0.00 μB per formula unit

9.
Here is a geometry-optimized TcNiRh2 structure from Alexandria. Energies are from GGA-PBE.

Unit cell a=8.8644 b=2.6981 c=4.6176 alpha=90.00 beta=100.33 gamma=90.00
With the nearest neighbours (Å) after each atom.
Space group Cm (No. 8)
Asymmetric unit:
Tc  0.0000  0.0000  0.0000  7 Rh 2.63-2.72, 3 Ni 2.66-2.70, 2 Tc 2.70
Ni  0.2521  0.0000  0.7475  7 Rh 2.63-2.72, 3 Tc 2.66-2.70, 2 Ni 2.70
Rh  0.0021  0.5000  0.5117  4 Tc 2.63-2.72, 3 Ni 2.64-2.66, 5 Rh 2.70-2.74
Rh  0.2508  0.5000  0.2357  4 Ni 2.63-2.72, 3 Tc 2.63-2.66, 5 Rh 2.70-2.74

Values from the calculation:
- Crystal system: monoclinic
- Energy above the lowest structure with this stoichiometry: 0.299 eV per formula unit
- N(E_F): 13.93 states/eV per cell
- Calculated volume: 13.58 Å³/atom
- Total magnetic moment: 0.01 μB per formula unit

10.
Here is a geometry-optimized TcNi2Rh structure from Alexandria. Energies are from GGA-PBE.

Unit cell a=2.6615 b=3.7019 c=5.1564 alpha=90.00 beta=90.00 gamma=90.00
With the nearest neighbours (Å) after each atom.
Space group Pmm2 (No. 25)
Asymmetric unit:
Tc  0.0000  0.0000  0.0000  6 Ni 2.47-2.69, 4 Rh 2.64, 2 Tc 2.66
Ni  0.0000  0.0000  0.4784  2 Tc 2.47-2.69, 6 Ni 2.57-2.66, 4 Rh 2.66
Ni  0.5000  0.5000  0.2488  2 Rh 2.55-2.61, 6 Ni 2.57-2.66, 4 Tc 2.62
Rh  0.5000  0.5000  0.7435  6 Ni 2.55-2.66, 4 Tc 2.64, 2 Rh 2.66

Values from the calculation:
- Crystal system: orthorhombic
- Energy above the lowest structure with this stoichiometry: 0.030 eV per formula unit
- N(E_F): 3.91 states/eV per cell
- Calculated volume: 12.70 Å³/atom
- Total magnetic moment: 0.00 μB per formula unit

11.
Here is a geometry-optimized TcNi2Rh structure from Alexandria. Energies are from GGA-PBE.

Unit cell a=2.6196 b=2.6196 c=7.3820 alpha=90.00 beta=90.00 gamma=90.00
With the nearest neighbours (Å) after each atom.
Space group P4/mmm (No. 123)
Asymmetric unit:
Tc  0.0000  0.0000  0.0000  8 Ni 2.61, 4 Tc 2.62
Ni  0.5000  0.5000  0.2482  4 Tc 2.61, 4 Ni 2.62, 4 Rh 2.62
Rh  0.0000  0.0000  0.5000  4 Rh 2.62, 8 Ni 2.62

Values from the calculation:
- Crystal system: tetragonal
- Energy above the lowest structure with this stoichiometry: 0.226 eV per formula unit
- N(E_F): 6.49 states/eV per cell
- Calculated volume: 12.66 Å³/atom
- Total magnetic moment: 0.00 μB per formula unit

12.
Here is a geometry-optimized TcNi2Rh structure from Alexandria. Energies are from GGA-PBE.

Unit cell a=2.6516 b=2.6516 c=7.2152 alpha=90.00 beta=90.00 gamma=90.00
With the nearest neighbours (Å) after each atom.
Space group P4mm (No. 99)
Asymmetric unit:
Tc  0.0000  0.0000  0.0000  4 Ni 2.59, 4 Tc 2.65, 4 Rh 2.69
Ni  0.0000  0.0000  0.4768  8 Ni 2.50-2.65, 4 Rh 2.63
Ni  0.5000  0.5000  0.2469  8 Ni 2.50-2.65, 4 Tc 2.59
Rh  0.5000  0.5000  0.7323  4 Ni 2.63, 4 Rh 2.65, 4 Tc 2.69

Values from the calculation:
- Crystal system: tetragonal
- Energy above the lowest structure with this stoichiometry: 0.097 eV per formula unit
- N(E_F): 5.50 states/eV per cell
- Calculated volume: 12.68 Å³/atom
- Total magnetic moment: 0.00 μB per formula unit

13.
Here is a geometry-optimized TcNi6Rh8 structure from Alexandria. Energies are from GGA-PBE.

Unit cell a=6.9900 b=6.9900 c=4.9467 alpha=90.00 beta=90.00 gamma=120.00
With the nearest neighbours (Å) after each atom.
Space group P-3 (No. 147)
Asymmetric unit:
Tc  0.0000  0.0000  0.0000  6 Ni 2.48
Ni  0.0348  0.3643  0.0982  3 Ni 2.39-2.62, 4 Rh 2.43-2.59, 1 Tc 2.48
Rh  0.0471  0.6932  0.3942  4 Ni 2.43-2.69, 4 Rh 2.55-2.68
Rh  0.3333  0.6667  0.7459  6 Ni 2.59-2.73, 6 Rh 2.68-2.73

Values from the calculation:
- Crystal system: trigonal
- VASP energy: -99.24 eV/f.u.
- N(E_F): 28.10 states/eV per cell
- Calculated volume: 13.95 Å³/atom
- Total magnetic moment: 2.88 μB per formula unit

14.
Here is a geometry-optimized TcNi4Rh2 structure from Alexandria. Energies are from GGA-PBE.

Unit cell a=6.5963 b=6.5963 c=4.2574 alpha=90.00 beta=90.00 gamma=90.00
With the nearest neighbours (Å) after each atom.
Space group P4_2/mnm (No. 136)
Asymmetric unit:
Tc  0.0000  0.0000  0.0000  4 Ni 2.49, 4 Rh 2.75
Ni  0.1025  0.3626  0.0000  2 Ni 2.26-2.43, 1 Tc 2.49, 2 Rh 2.49
Rh  0.1867  0.1867  0.5000  8 Ni 2.49-2.76, 2 Tc 2.75

Values from the calculation:
- Crystal system: tetragonal
- Energy above the lowest structure with this stoichiometry: 1.269 eV per formula unit
- N(E_F): 23.68 states/eV per cell
- Calculated volume: 13.23 Å³/atom
- Total magnetic moment: 3.57 μB per formula unit

15.
Here is a geometry-optimized TcNiRh2 structure from Alexandria. Energies are from GGA-PBE.

Unit cell a=2.6944 b=3.7658 c=5.3293 alpha=90.00 beta=90.00 gamma=90.00
With the nearest neighbours (Å) after each atom.
Space group Pmmm (No. 47)
Asymmetric unit:
Tc  0.0000  0.0000  0.0000  2 Ni 2.66, 8 Rh 2.68, 2 Tc 2.69
Ni  0.0000  0.0000  0.5000  8 Rh 2.66, 2 Tc 2.66, 2 Ni 2.69
Rh  0.5000  0.5000  0.2533  4 Rh 2.63-2.70, 4 Ni 2.66, 4 Tc 2.68

Values from the calculation:
- Crystal system: orthorhombic
- Energy above the lowest structure with this stoichiometry: 0.000 eV per formula unit
- N(E_F): 4.68 states/eV per cell
- Calculated volume: 13.52 Å³/atom
- Total magnetic moment: 0.00 μB per formula unit

16.
Here is a geometry-optimized TcNiRh2 structure from Alexandria. Energies are from GGA-PBE.

Unit cell a=2.7134 b=2.7134 c=25.7131 alpha=90.00 beta=90.00 gamma=120.00
With the nearest neighbours (Å) after each atom.
Space group R-3m (No. 166, hexagonal axes)
Asymmetric unit:
Tc  0.0000  0.0000  0.0000  6 Rh 2.67, 6 Tc 2.71
Ni  0.0000  0.0000  0.5000  6 Rh 2.64, 6 Ni 2.71
Rh  0.0000  0.0000  0.2493  3 Ni 2.64, 3 Tc 2.67, 6 Rh 2.71

Values from the calculation:
- Crystal system: trigonal
- Energy above the lowest structure with this stoichiometry: 0.259 eV per formula unit
- N(E_F): 19.66 states/eV per cell
- Calculated volume: 13.66 Å³/atom
- Total magnetic moment: 0.05 μB per formula unit

17.
Here is a geometry-optimized TcNiRh2 structure from Alexandria. Energies are from GGA-PBE.

Unit cell a=5.3737 b=7.5374 c=2.6867 alpha=90.00 beta=90.00 gamma=90.00
With the nearest neighbours (Å) after each atom.
Space group Cmmm (No. 65)
Asymmetric unit:
Tc  0.0000  0.0000  0.0000  8 Rh 2.68, 2 Tc 2.69, 2 Ni 2.69
Ni  0.0000  0.5000  0.0000  8 Rh 2.68, 2 Ni 2.69, 2 Tc 2.69
Rh  0.2500  0.2500  0.5000  4 Tc 2.68, 4 Ni 2.68, 4 Rh 2.69

Values from the calculation:
- Crystal system: orthorhombic
- Energy above the lowest structure with this stoichiometry: 0.355 eV per formula unit
- N(E_F): 12.03 states/eV per cell
- Calculated volume: 13.60 Å³/atom
- Total magnetic moment: 0.40 μB per formula unit

18.
Here is a geometry-optimized TcNi2Rh structure from Alexandria. Energies are from GGA-PBE.

Unit cell a=8.7303 b=2.6444 c=4.4659 alpha=90.00 beta=100.56 gamma=90.00
With the nearest neighbours (Å) after each atom.
Space group Cm (No. 8)
Asymmetric unit:
Tc  0.0000  0.0000  0.0000  7 Ni 2.55-2.64, 3 Rh 2.59-2.65, 2 Tc 2.64
Ni  0.2497  0.5000  0.2551  5 Ni 2.57-2.64, 4 Rh 2.59-2.60, 3 Tc 2.62-2.64
Ni  0.4956  0.0000  0.4866  4 Tc 2.55-2.64, 5 Ni 2.57-2.64, 3 Rh 2.64-2.67
Rh  0.2458  0.0000  0.7515  7 Ni 2.59-2.67, 3 Tc 2.59-2.65, 2 Rh 2.64

Values from the calculation:
- Crystal system: monoclinic
- Energy above the lowest structure with this stoichiometry: 0.111 eV per formula unit
- N(E_F): 13.24 states/eV per cell
- Calculated volume: 12.67 Å³/atom
- Total magnetic moment: 0.00 μB per formula unit

19.
Here is a geometry-optimized TcNi2Rh structure from Alexandria. Energies are from GGA-PBE.

Unit cell a=4.3338 b=4.3338 c=2.7057 alpha=90.00 beta=90.00 gamma=90.00
With the nearest neighbours (Å) after each atom.
Space group P4/mmm (No. 123)
Asymmetric unit:
Tc  0.0000  0.0000  0.0000  8 Ni 2.55, 2 Tc 2.71
Ni  0.0000  0.5000  0.5000  4 Tc 2.55, 4 Rh 2.55, 2 Ni 2.71
Rh  0.5000  0.5000  0.0000  8 Ni 2.55, 2 Rh 2.71

Values from the calculation:
- Crystal system: tetragonal
- Energy above the lowest structure with this stoichiometry: 0.749 eV per formula unit
- N(E_F): 5.94 states/eV per cell
- Calculated volume: 12.70 Å³/atom
- Total magnetic moment: 0.18 μB per formula unit

20.
Here is a geometry-optimized TcNiRh2 structure from Alexandria. Energies are from GGA-PBE.

Unit cell a=2.6878 b=2.6878 c=7.4741 alpha=90.00 beta=90.00 gamma=90.00
With the nearest neighbours (Å) after each atom.
Space group P4mm (No. 99)
Asymmetric unit:
Tc  0.0000  0.0000  0.0000  4 Ni 2.59, 4 Tc 2.69, 4 Rh 2.71
Ni  0.5000  0.5000  0.2356  4 Tc 2.59, 4 Rh 2.62, 4 Ni 2.69
Rh  0.0000  0.0000  0.4768  4 Ni 2.62, 8 Rh 2.69-2.75
Rh  0.5000  0.5000  0.7418  8 Rh 2.69-2.75, 4 Tc 2.71

Values from the calculation:
- Crystal system: tetragonal
- Energy above the lowest structure with this stoichiometry: 0.246 eV per formula unit
- N(E_F): 8.10 states/eV per cell
- Calculated volume: 13.50 Å³/atom
- Total magnetic moment: 0.09 μB per formula unit